#i
Below is crystalline Hf2InSn2 at its relaxed geometry, with properties calculated at the PBE-GGA level.

- magnetization (μB/cell) = 0.00
- SG = P4/mbm (127)
- DOS(E_F) (states/eV per cell) = 7.6

a b c (Å): 7.6769 7.6769 4.0461
angles (deg): 90.00 90.00 90.00
With the nearest neighbours (Å) after each atom.
Positions (direct):
Hf (0.1402, 0.3598, 0.0000)  6 Sn 2.95-3.08, 2 In 2.96, 1 Hf 3.04
Hf (0.3598, 0.8598, 0.0000)  6 Sn 2.95-3.08, 2 In 2.96, 1 Hf 3.04
Hf (0.6402, 0.1402, 0.0000)  6 Sn 2.95-3.08, 2 In 2.96, 1 Hf 3.04
Hf (0.8598, 0.6402, 0.0000)  6 Sn 2.95-3.08, 2 In 2.96, 1 Hf 3.04
In (0.0000, 0.0000, 0.0000)  4 Hf 2.96
In (0.5000, 0.5000, 0.0000)  4 Hf 2.96
Sn (0.1622, 0.6622, 0.5000)  6 Hf 2.95-3.08
Sn (0.3378, 0.1622, 0.5000)  6 Hf 2.95-3.08
Sn (0.6622, 0.8378, 0.5000)  6 Hf 2.95-3.08
Sn (0.8378, 0.3378, 0.5000)  6 Hf 2.95-3.08



#ii
Below is crystalline Hf2InSn2 at its relaxed geometry, with properties calculated at the PBE-GGA level.

- magnetization (μB/cell) = 0.00
- SG = P4/mbm (127)
- DOS(E_F) (states/eV per cell) = 8.5

a b c (Å): 8.7254 8.7254 3.1786
angles (deg): 90.00 90.00 90.00
With the nearest neighbours (Å) after each atom.
Positions (direct):
Hf (0.1282, 0.3718, 0.0000)  6 Sn 3.00-3.03, 3 Hf 3.16-3.18
Hf (0.3718, 0.8718, 0.0000)  6 Sn 3.00-3.03, 3 Hf 3.16-3.18
Hf (0.6282, 0.1282, 0.0000)  6 Sn 3.00-3.03, 3 Hf 3.16-3.18
Hf (0.8718, 0.6282, 0.0000)  6 Sn 3.00-3.03, 3 Hf 3.16-3.18
In (0.0000, 0.0000, 0.5000)  2 In 3.18, 4 Sn 3.26
In (0.5000, 0.5000, 0.5000)  2 In 3.18, 4 Sn 3.26
Sn (0.1655, 0.6655, 0.5000)  6 Hf 3.00-3.03, 2 Sn 3.18, 2 In 3.26
Sn (0.3345, 0.1655, 0.5000)  6 Hf 3.00-3.03, 2 Sn 3.18, 2 In 3.26
Sn (0.6655, 0.8345, 0.5000)  6 Hf 3.00-3.03, 2 Sn 3.18, 2 In 3.26
Sn (0.8345, 0.3345, 0.5000)  6 Hf 3.00-3.03, 2 Sn 3.18, 2 In 3.26



Taking the most stable structure as the zero point, the relative energies in kJ/mol of atoms are #i 0.0; #ii 6.2.



#i
Below is crystalline SrHf3In at its relaxed geometry, with properties calculated at the PBE-GGA level.

- magnetization (μB/cell) = 0.00
- SG = Pm-3m (221)
- DOS(E_F) (states/eV per cell) = 10.9

a b c (Å): 5.1516 5.1516 5.1516
angles (deg): 90.00 90.00 90.00
With the nearest neighbours (Å) after each atom.
Positions (direct):
Sr (0.0000, 0.0000, 0.0000)  6 Hf 2.58
Hf (0.0000, 0.0000, 0.5000)  2 Sr 2.58
Hf (0.0000, 0.5000, 0.0000)  2 Sr 2.58
Hf (0.5000, 0.0000, 0.0000)  2 Sr 2.58
In (0.5000, 0.5000, 0.5000)  12 Hf 3.64



#ii
Below is crystalline SrHf3In at its relaxed geometry, with properties calculated at the PBE-GGA level.

- magnetization (μB/cell) = 1.65
- SG = Pm-3m (221)
- DOS(E_F) (states/eV per cell) = 8.6

a b c (Å): 5.4091 5.4091 5.4091
angles (deg): 90.00 90.00 90.00
With the nearest neighbours (Å) after each atom.
Positions (direct):
Sr (0.0000, 0.0000, 0.0000)  12 Hf 3.82
Hf (0.0000, 0.5000, 0.5000)  2 In 2.70
Hf (0.5000, 0.0000, 0.5000)  2 In 2.70
Hf (0.5000, 0.5000, 0.0000)  2 In 2.70
In (0.5000, 0.5000, 0.5000)  6 Hf 2.70



Taking the most stable structure as the zero point, the relative energies in kJ/mol of atoms are #i 86.0; #ii 0.0.



#i
Below is crystalline Hf2TaIn2 at its relaxed geometry, with properties calculated at the PBE-GGA level.

- magnetization (μB/cell) = 0.00
- SG = P4/mbm (127)
- DOS(E_F) (states/eV per cell) = 9.1

a b c (Å): 7.4909 7.4909 3.8222
angles (deg): 90.00 90.00 90.00
With the nearest neighbours (Å) after each atom.
Positions (direct):
Hf (0.1744, 0.3256, 0.0000)  6 In 2.81-3.00
Hf (0.3256, 0.8256, 0.0000)  6 In 2.81-3.00
Hf (0.6744, 0.1744, 0.0000)  6 In 2.81-3.00
Hf (0.8256, 0.6744, 0.0000)  6 In 2.81-3.00
Ta (0.0000, 0.0000, 0.5000)  4 In 2.93
Ta (0.5000, 0.5000, 0.5000)  4 In 2.93
In (0.1310, 0.6310, 0.5000)  1 In 2.78, 6 Hf 2.81-3.00, 2 Ta 2.93
In (0.3690, 0.1310, 0.5000)  1 In 2.78, 6 Hf 2.81-3.00, 2 Ta 2.93
In (0.6310, 0.8690, 0.5000)  1 In 2.78, 6 Hf 2.81-3.00, 2 Ta 2.93
In (0.8690, 0.3690, 0.5000)  1 In 2.78, 6 Hf 2.81-3.00, 2 Ta 2.93



#ii
Below is crystalline Hf2TaIn2 at its relaxed geometry, with properties calculated at the PBE-GGA level.

- magnetization (μB/cell) = 0.00
- SG = P-1 (2)
- DOS(E_F) (states/eV per cell) = 2.6

a b c (Å): 3.0823 5.0248 7.4439
angles (deg): 70.33 79.64 89.99
With the nearest neighbours (Å) after each atom.
Positions (direct):
Hf (0.1764, 0.4049, 0.1903)  2 Ta 2.94, 4 Hf 3.01-3.08, 3 In 3.11-3.27
Hf (0.8236, 0.5951, 0.8097)  2 Ta 2.94, 4 Hf 3.01-3.08, 3 In 3.11-3.27
Ta (0.0000, 0.0000, 0.0000)  2 In 2.86, 4 Hf 2.94, 2 Ta 3.08
In (0.4906, 0.8066, 0.3873)  1 Ta 2.86, 4 In 2.97-3.08, 2 Hf 3.11
In (0.5094, 0.1934, 0.6127)  1 Ta 2.86, 4 In 2.97-3.08, 2 Hf 3.11



Taking the most stable structure as the zero point, the relative energies in kJ/mol of atoms are #i 15.1; #ii 0.0.



#i
Below is crystalline TbHf2In at its relaxed geometry, with properties calculated at the PBE-GGA level.

- magnetization (μB/cell) = 0.00
- SG = R-3m (166)
- DOS(E_F) (states/eV per cell) = 19.0

a b c (Å): 3.1471 3.1471 34.7036
angles (deg): 90.00 90.00 120.00
With the nearest neighbours (Å) after each atom.
Positions (direct):
Tb (0.0000, 0.0000, 0.0000)  6 Tb 3.15, 2 Hf 3.20
Tb (0.3333, 0.6667, 0.6667)  6 Tb 3.15, 2 Hf 3.20
Tb (0.6667, 0.3333, 0.3333)  6 Tb 3.15, 2 Hf 3.20
Hf (0.0000, 0.0000, 0.0921)  6 Hf 3.15, 3 In 3.16, 1 Tb 3.20
Hf (0.0000, 0.0000, 0.9079)  6 Hf 3.15, 3 In 3.16, 1 Tb 3.20
Hf (0.3333, 0.6667, 0.5745)  6 Hf 3.15, 3 In 3.16, 1 Tb 3.20
Hf (0.3333, 0.6667, 0.7588)  6 Hf 3.15, 3 In 3.16, 1 Tb 3.20
Hf (0.6667, 0.3333, 0.2412)  6 Hf 3.15, 3 In 3.16, 1 Tb 3.20
Hf (0.6667, 0.3333, 0.4255)  6 Hf 3.15, 3 In 3.16, 1 Tb 3.20
In (0.0000, 0.0000, 0.5000)  6 In 3.15, 6 Hf 3.16
In (0.3333, 0.6667, 0.1667)  6 In 3.15, 6 Hf 3.16
In (0.6667, 0.3333, 0.8333)  6 In 3.15, 6 Hf 3.16



#ii
Below is crystalline TbHf2In at its relaxed geometry, with properties calculated at the PBE-GGA level.

- magnetization (μB/cell) = 0.00
- SG = P4/mmm (123)
- DOS(E_F) (states/eV per cell) = 3.0

a b c (Å): 4.5496 4.5496 4.5605
angles (deg): 90.00 90.00 90.00
With the nearest neighbours (Å) after each atom.
Positions (direct):
Tb (0.0000, 0.0000, 0.0000)  4 In 3.22, 8 Hf 3.22
Hf (0.0000, 0.5000, 0.5000)  4 Hf 3.22, 4 In 3.22, 4 Tb 3.22
Hf (0.5000, 0.0000, 0.5000)  4 Hf 3.22, 4 In 3.22, 4 Tb 3.22
In (0.5000, 0.5000, 0.0000)  4 Tb 3.22, 8 Hf 3.22



Taking the most stable structure as the zero point, the relative energies in kJ/mol of atoms are #i 36.0; #ii 0.0.



#i
Below is crystalline Tb2HfIn at its relaxed geometry, with properties calculated at the PBE-GGA level.

- magnetization (μB/cell) = 0.00
- SG = P4/mmm (123)
- DOS(E_F) (states/eV per cell) = 3.6

a b c (Å): 3.3576 3.3576 9.4632
angles (deg): 90.00 90.00 90.00
With the nearest neighbours (Å) after each atom.
Positions (direct):
Tb (0.0000, 0.0000, 0.2500)  4 Hf 3.35, 4 In 3.35, 4 Tb 3.36
Tb (0.0000, 0.0000, 0.7500)  4 Hf 3.35, 4 In 3.35, 4 Tb 3.36
Hf (0.5000, 0.5000, 0.0000)  8 Tb 3.35, 4 Hf 3.36
In (0.5000, 0.5000, 0.5000)  8 Tb 3.35, 4 In 3.36



#ii
Below is crystalline Tb2HfIn at its relaxed geometry, with properties calculated at the PBE-GGA level.

- magnetization (μB/cell) = 0.00
- SG = R-3m (166)
- DOS(E_F) (states/eV per cell) = 19.5

a b c (Å): 3.2739 3.2739 35.6432
angles (deg): 90.00 90.00 120.00
With the nearest neighbours (Å) after each atom.
Positions (direct):
Tb (0.0000, 0.0000, 0.0900)  1 Hf 3.21, 6 Tb 3.27, 3 In 3.32
Tb (0.0000, 0.0000, 0.9100)  1 Hf 3.21, 6 Tb 3.27, 3 In 3.32
Tb (0.3333, 0.6667, 0.5766)  1 Hf 3.21, 6 Tb 3.27, 3 In 3.32
Tb (0.3333, 0.6667, 0.7567)  1 Hf 3.21, 6 Tb 3.27, 3 In 3.32
Tb (0.6667, 0.3333, 0.2433)  1 Hf 3.21, 6 Tb 3.27, 3 In 3.32
Tb (0.6667, 0.3333, 0.4234)  1 Hf 3.21, 6 Tb 3.27, 3 In 3.32
Hf (0.0000, 0.0000, 0.0000)  2 Tb 3.21, 6 Hf 3.27
Hf (0.3333, 0.6667, 0.6667)  2 Tb 3.21, 6 Hf 3.27
Hf (0.6667, 0.3333, 0.3333)  2 Tb 3.21, 6 Hf 3.27
In (0.0000, 0.0000, 0.5000)  6 In 3.27, 6 Tb 3.32
In (0.3333, 0.6667, 0.1667)  6 In 3.27, 6 Tb 3.32
In (0.6667, 0.3333, 0.8333)  6 In 3.27, 6 Tb 3.32



Taking the most stable structure as the zero point, the relative energies in kJ/mol of atoms are #i 0.0; #ii 38.4.



#i
Below is crystalline HfInTc at its relaxed geometry, with properties calculated at the PBE-GGA level.

- magnetization (μB/cell) = 0.00
- SG = R-3m (166)
- DOS(E_F) (states/eV per cell) = 5.6

a b c (Å): 8.5223 8.5223 8.5223
angles (deg): 30.10 30.10 30.10
With the nearest neighbours (Å) after each atom.
Positions (direct):
Hf (0.0896, 0.0896, 0.0896)  1 Tc 2.43
Hf (0.9104, 0.9104, 0.9104)  1 Tc 2.43
In (0.3089, 0.3089, 0.3089)  3 In 2.82, 1 Tc 2.92, 3 Hf 3.01
In (0.6911, 0.6911, 0.6911)  3 In 2.82, 1 Tc 2.92, 3 Hf 3.01
Tc (0.1894, 0.1894, 0.1894)  1 Hf 2.43
Tc (0.8106, 0.8106, 0.8106)  1 Hf 2.43



#ii
Below is crystalline HfInTc at its relaxed geometry, with properties calculated at the PBE-GGA level.

- magnetization (μB/cell) = 0.00
- SG = I4mm (107)

a b c (Å): 3.4515 3.4515 9.5207
angles (deg): 90.00 90.00 90.00
With the nearest neighbours (Å) after each atom.
Positions (direct):
Hf (0.0000, 0.0000, 0.0000)  4 Tc 2.77, 5 In 2.94-3.05
Hf (0.5000, 0.5000, 0.5000)  4 Tc 2.77, 5 In 2.94-3.05
In (0.0000, 0.0000, 0.6913)  5 Tc 2.93-3.13, 5 Hf 2.94-3.05
In (0.5000, 0.5000, 0.1913)  5 Tc 2.93-3.13, 5 Hf 2.94-3.05
Tc (0.0000, 0.0000, 0.3624)  4 Hf 2.77, 4 In 2.93
Tc (0.5000, 0.5000, 0.8624)  4 Hf 2.77, 4 In 2.93



Taking the most stable structure as the zero point, the relative energies in kJ/mol of atoms are #i 63.5; #ii 0.0.



#i
Below is crystalline HfInTe3 at its relaxed geometry, with properties calculated at the PBE-GGA level.

- magnetization (μB/cell) = 0.00
- SG = Pm-3m (221)
- DOS(E_F) (states/eV per cell) = 4.9

a b c (Å): 5.5123 5.5123 5.5123
angles (deg): 90.00 90.00 90.00
With the nearest neighbours (Å) after each atom.
Positions (direct):
Hf (0.0000, 0.0000, 0.0000)  12 Te 3.90
In (0.5000, 0.5000, 0.5000)  6 Te 2.76
Te (0.0000, 0.5000, 0.5000)  2 In 2.76
Te (0.5000, 0.0000, 0.5000)  2 In 2.76
Te (0.5000, 0.5000, 0.0000)  2 In 2.76



#ii
Below is crystalline HfInTe3 at its relaxed geometry, with properties calculated at the PBE-GGA level.

- magnetization (μB/cell) = 0.00
- SG = Pm-3m (221)
- DOS(E_F) (states/eV per cell) = 2.0

a b c (Å): 5.6096 5.6096 5.6096
angles (deg): 90.00 90.00 90.00
With the nearest neighbours (Å) after each atom.
Positions (direct):
Hf (0.0000, 0.0000, 0.0000)  6 Te 2.80
In (0.5000, 0.5000, 0.5000)  12 Te 3.97
Te (0.0000, 0.0000, 0.5000)  2 Hf 2.80
Te (0.0000, 0.5000, 0.0000)  2 Hf 2.80
Te (0.5000, 0.0000, 0.0000)  2 Hf 2.80



Taking the most stable structure as the zero point, the relative energies in kJ/mol of atoms are #i 100.8; #ii 0.0.



#i
Below is crystalline HfThIn at its relaxed geometry, with properties calculated at the PBE-GGA level.

- magnetization (μB/cell) = 0.00
- SG = I4mm (107)
- DOS(E_F) (states/eV per cell) = 8.2

a b c (Å): 3.2887 3.2887 14.4198
angles (deg): 90.00 90.00 90.00
With the nearest neighbours (Å) after each atom.
Positions (direct):
Hf (0.0000, 0.0000, 0.0000)  4 In 3.18, 4 Hf 3.29, 4 Th 3.36
Hf (0.5000, 0.5000, 0.5000)  4 In 3.18, 4 Hf 3.29, 4 Th 3.36
Th (0.0000, 0.0000, 0.6686)  4 Th 3.29, 4 Hf 3.36, 4 In 3.49
Th (0.5000, 0.5000, 0.1686)  4 Th 3.29, 4 Hf 3.36, 4 In 3.49
In (0.0000, 0.0000, 0.3491)  4 Hf 3.18, 4 In 3.29, 4 Th 3.49
In (0.5000, 0.5000, 0.8491)  4 Hf 3.18, 4 In 3.29, 4 Th 3.49



#ii
Below is crystalline HfThIn at its relaxed geometry, with properties calculated at the PBE-GGA level.

- magnetization (μB/cell) = 0.00
- SG = P3m1 (156)
- DOS(E_F) (states/eV per cell) = 3.3

a b c (Å): 5.2316 5.2316 3.3697
angles (deg): 90.00 90.00 120.00
With the nearest neighbours (Å) after each atom.
Positions (direct):
Hf (0.0000, 0.0000, 0.0000)  3 In 3.02, 2 Hf 3.37
Th (0.6667, 0.3333, 0.4993)  2 Th 3.37, 6 In 3.46, 6 Hf 3.46
In (0.3333, 0.6667, 0.9984)  3 Hf 3.02, 2 In 3.37



Taking the most stable structure as the zero point, the relative energies in kJ/mol of atoms are #i 0.0; #ii 11.3.